Record 1
! Re2Au (PBE, relaxed); values from VASP
! **DOS at the Fermi energy**: 0.44 states/eV/atom
! **Formation energy**: 0.5616 eV/atom
! **Uncorrected energy**: -8.830 eV/atom
! **Space-group type**: P6_3/mmc (194)
&SYSTEM
  ibrav = 0, nat = 6, ntyp = 2
/
ATOMIC_SPECIES
Re 186.21 Re.upf
Au 196.97 Au.upf
ATOMIC_POSITIONS crystal
Re 0.3333 0.6667 0.0325
Re 0.3333 0.6667 0.4675
Re 0.6667 0.3333 0.5325
Re 0.6667 0.3333 0.9675
Au 0.0000 0.0000 0.2500
Au 0.0000 0.0000 0.7500
CELL_PARAMETERS angstrom
-3.8155 0.6328 2.4259
-0.2615 -1.3144 -4.3644
0.1301 -5.2713 1.5797

---

Record 2
! Tb2In9Sn (PBE, relaxed); values from VASP
! **DOS at the Fermi energy**: 0.47 states/eV/atom
! **Formation energy**: -0.2350 eV/atom
! **Uncorrected energy**: -3.394 eV/atom
! **Space-group type**: P4/mmm (123)
&SYSTEM
  ibrav = 0, nat = 12, ntyp = 3
/
ATOMIC_SPECIES
Tb 158.93 Tb.upf
In 114.82 In.upf
Sn 118.71 Sn.upf
ATOMIC_POSITIONS crystal
Tb 0.0000 0.0000 0.3391
Tb 0.0000 0.0000 0.6609
In 0.5000 0.5000 0.0000
In 0.5000 0.5000 0.3372
In 0.5000 0.5000 0.6628
In 0.5000 0.0000 0.1706
In 0.5000 0.0000 0.5000
In 0.5000 0.0000 0.8294
In 0.0000 0.5000 0.1706
In 0.0000 0.5000 0.5000
In 0.0000 0.5000 0.8294
Sn 0.0000 0.0000 0.0000
CELL_PARAMETERS angstrom
-4.5783 -0.7294 0.2663
0.6934 -3.1237 3.3654
-1.0827 10.4032 9.8790

---

Record 3
! Sm2GeMoN5 (PBE, relaxed); values from VASP
! **DOS at the Fermi energy**: 0.21 states/eV/atom
! **Uncorrected energy**: -8.144 eV/atom
! **Space-group type**: Cmc2_1 (36)
! **E_form (uncorrected)**: -0.754 eV/atom
&SYSTEM
  ibrav = 0, nat = 18, ntyp = 4
/
ATOMIC_SPECIES
Sm 150.36 Sm.upf
Ge 72.64 Ge.upf
Mo 95.94 Mo.upf
N 14.01 N.upf
ATOMIC_POSITIONS crystal
Sm 0.8676 0.7352 0.7895
Sm 0.1117 0.2234 0.6960
Sm 0.1324 0.2648 0.2895
Sm 0.8883 0.7766 0.1960
Ge 0.5476 0.0952 0.9557
Ge 0.4524 0.9048 0.4557
Mo 0.7739 0.5478 0.5120
Mo 0.2261 0.4522 0.0120
N 0.3536 0.7073 0.0018
N 0.6833 0.3665 0.8783
N 0.4973 0.9947 0.7889
N 0.2863 0.5726 0.6482
N 0.9533 0.9066 0.5535
N 0.6464 0.2927 0.5018
N 0.3167 0.6335 0.3783
N 0.5027 0.0053 0.2889
N 0.7137 0.4274 0.1482
N 0.0467 0.0934 0.0535
CELL_PARAMETERS angstrom
3.2077 0.0000 0.0000
-1.6039 7.0884 0.0000
0.0000 0.0000 10.1373

---

Record 4
! Ce3Pr3YTe8 (PBE, relaxed); values from VASP
! **DOS at the Fermi energy**: 1.63 states/eV/atom
! **Uncorrected energy**: -5.681 eV/atom
! **Space-group type**: R-3m (166)
! **E_form (uncorrected)**: -1.431 eV/atom
&SYSTEM
  ibrav = 0, nat = 15, ntyp = 4
/
ATOMIC_SPECIES
Ce 140.12 Ce.upf
Pr 140.91 Pr.upf
Y 88.91 Y.upf
Te 127.60 Te.upf
ATOMIC_POSITIONS crystal
Ce 0.5000 0.0000 0.5000
Ce 0.5000 0.5000 0.5000
Ce 0.0000 0.5000 0.5000
Pr 0.0000 0.0000 0.0000
Pr 0.0000 0.5000 0.0000
Pr 0.5000 0.5000 0.0000
Y 0.0000 0.0000 0.5000
Te 0.2510 0.5019 0.2528
Te 0.7490 0.4981 0.7472
Te 0.7516 0.5031 0.2533
Te 0.2484 0.4969 0.7467
Te 0.7515 0.0018 0.2533
Te 0.2485 0.9982 0.7467
Te 0.2502 0.0018 0.2533
Te 0.7498 0.9982 0.7467
CELL_PARAMETERS angstrom
8.9775 -0.0003 0.0005
-4.4890 7.7766 -0.0270
0.0000 -5.1587 7.3790

---

Record 5
! BaHgPt3 (PBE, relaxed); values from VASP
! **DOS at the Fermi energy**: 0.70 states/eV/atom
! **Formation energy**: 0.3006 eV/atom
! **Uncorrected energy**: -3.769 eV/atom
! **Space-group type**: Pm-3m (221)
&SYSTEM
  ibrav = 0, nat = 5, ntyp = 3
/
ATOMIC_SPECIES
Hg 200.59 Hg.upf
Pt 195.08 Pt.upf
Ba 137.33 Ba.upf
ATOMIC_POSITIONS crystal
Hg 0.0000 0.0000 0.0000
Pt 0.0000 0.5000 0.0000
Pt 0.0000 0.0000 0.5000
Pt 0.5000 0.0000 0.0000
Ba 0.5000 0.5000 0.5000
CELL_PARAMETERS angstrom
-2.0963 -4.5657 1.0985
1.8175 0.3204 4.8001
-4.3300 2.3449 1.4830

---

Record 6
! Sr2SbPt (PBE, relaxed); values from VASP
! **DOS at the Fermi energy**: 0.15 states/eV/atom
! **Uncorrected energy**: -4.116 eV/atom
! **Space-group type**: P4/mmm (123)
! **E_form (uncorrected)**: -0.734 eV/atom
&SYSTEM
  ibrav = 0, nat = 4, ntyp = 3
/
ATOMIC_SPECIES
Pt 195.08 Pt.upf
Sb 121.76 Sb.upf
Sr 87.62 Sr.upf
ATOMIC_POSITIONS crystal
Pt 0.0000 0.6250 0.3750
Sb 0.5000 0.6250 0.8752
Sr 0.0000 0.1251 0.8748
Sr 0.5000 0.1249 0.3751
CELL_PARAMETERS angstrom
-0.2285 -0.0346 5.6390
3.3861 -1.3118 0.1291
2.0346 5.2629 0.1147